1.
{"formula": "Zr3ScBe", "functional": "PBE", "state": "relaxed", "lattice": [[-1.4389, 4.7450, -0.4263], [-4.4432, -1.1759, 1.9084], [1.7189, 0.9324, 4.5764]], "species": ["Sc", "Be", "Zr", "Zr", "Zr"], "fractional_positions": [[0.0000, 0.0000, 0.0000], [0.5000, 0.5000, 0.5000], [0.0000, 0.5000, 0.0000], [0.0000, 0.0000, 0.5000], [0.5000, 0.0000, 0.0000]], "e_above_lowest_polymorph_ev_per_atom": 1.1273, "ef_ev_per_atom": 1.4324, "space_group": "Pm-3m"}

***

2.
{"formula": "Zr2Sc2Be", "functional": "PBE", "state": "relaxed", "lattice": [[-0.5478, -1.5666, 6.6033], [-5.9590, -3.0593, -1.2202], [2.2429, -4.0588, -0.7769]], "species": ["Sc", "Sc", "Sc", "Sc", "Be", "Be", "Zr", "Zr", "Zr", "Zr"], "fractional_positions": [[0.1619, 0.6619, 0.5000], [0.6619, 0.8381, 0.5000], [0.8381, 0.3381, 0.5000], [0.3381, 0.1619, 0.5000], [0.0000, 0.0000, 0.0000], [0.5000, 0.5000, 0.0000], [0.3551, 0.8551, 0.0000], [0.8551, 0.6449, 0.0000], [0.6449, 0.1449, 0.0000], [0.1449, 0.3551, 0.0000]], "ef_ev_per_atom": 0.2829, "space_group": "P4/mbm"}

***

3.
{"formula": "Zr4ScBe", "functional": "PBE", "state": "relaxed", "lattice": [[1.4435, 0.2209, 5.5910], [2.4585, 4.7611, 2.1633], [-2.9644, 3.3938, 3.6175]], "species": ["Zr", "Zr", "Zr", "Zr", "Sc", "Be"], "fractional_positions": [[0.8802, 0.3733, 0.3733], [0.3733, 0.3733, 0.8802], [0.3733, 0.8802, 0.3733], [0.3733, 0.3733, 0.3733], [0.0000, 0.0000, 0.0000], [0.7500, 0.7500, 0.7500]], "ef_ev_per_atom": 0.5194, "space_group": "F-43m"}

***

4.
{"formula": "Zr2ScBe", "functional": "PBE", "state": "relaxed", "lattice": [[4.2796, 0.0000, 0.0000], [0.0000, 4.2733, 0.0000], [0.0000, 0.0000, 4.2733]], "species": ["Sc", "Be", "Zr", "Zr"], "fractional_positions": [[0.5000, 0.0000, 0.5000], [0.5000, 0.5000, 0.0000], [0.0000, 0.0000, 0.0000], [0.0000, 0.5000, 0.5000]], "ef_ev_per_atom": 0.0959, "space_group": "P4/mmm"}

***

5.
{"formula": "ZrScBe", "functional": "PBE", "state": "relaxed", "lattice": [[-2.4468, 3.5461, -0.7449], [-2.5608, -2.8093, -4.9623], [-6.3312, -3.2909, 5.1302]], "species": ["Sc", "Sc", "Sc", "Sc", "Be", "Be", "Be", "Be", "Zr", "Zr", "Zr", "Zr"], "fractional_positions": [[0.7500, 0.0197, 0.1193], [0.2500, 0.5197, 0.3807], [0.2500, 0.9803, 0.8807], [0.7500, 0.4803, 0.6193], [0.7500, 0.7641, 0.3736], [0.2500, 0.2641, 0.1264], [0.2500, 0.2359, 0.6264], [0.7500, 0.7359, 0.8736], [0.7500, 0.5178, 0.1293], [0.2500, 0.0178, 0.3707], [0.2500, 0.4822, 0.8707], [0.7500, 0.9822, 0.6293]], "e_above_lowest_polymorph_ev_per_atom": 0.2582, "ef_ev_per_atom": 0.2564, "space_group": "Pnma"}

***

6.
{"formula": "Zr2ScBe", "functional": "PBE", "state": "relaxed", "lattice": [[5.8577, 0.0086, 0.0032], [4.9325, 3.1596, 0.0032], [1.9588, 0.5751, 4.3385]], "species": ["Sc", "Be", "Zr", "Zr"], "fractional_positions": [[0.2500, 0.2500, 0.2500], [0.7500, 0.7500, 0.7500], [0.0408, 0.0408, 0.9592], [0.4592, 0.4592, 0.5408]], "ef_ev_per_atom": 0.0174, "space_group": "Immm"}

***

7.
{"formula": "ZrScBe3", "functional": "PBE", "state": "relaxed", "lattice": [[-0.2686, -4.3533, 0.3185], [4.3326, -0.3046, -0.5104], [0.5302, 0.2842, 4.3317]], "species": ["Sc", "Be", "Be", "Be", "Zr"], "fractional_positions": [[0.0000, 0.0000, 0.0000], [0.0000, 0.5000, 0.0000], [0.0000, 0.0000, 0.5000], [0.5000, 0.0000, 0.0000], [0.5000, 0.5000, 0.5000]], "e_above_lowest_polymorph_ev_per_atom": 0.0000, "ef_ev_per_atom": 1.1848, "space_group": "Pm-3m"}

***

8.
{"formula": "ZrSc2Be2", "functional": "PBE", "state": "relaxed", "lattice": [[7.3855, 0.0000, 0.0000], [0.0000, 7.3855, 0.0000], [0.0000, 0.0000, 3.2758]], "species": ["Sc", "Sc", "Sc", "Sc", "Be", "Be", "Be", "Be", "Zr", "Zr"], "fractional_positions": [[0.1786, 0.6786, 0.5000], [0.6786, 0.8214, 0.5000], [0.8214, 0.3214, 0.5000], [0.3214, 0.1786, 0.5000], [0.3880, 0.8880, 0.0000], [0.8880, 0.6120, 0.0000], [0.6120, 0.1120, 0.0000], [0.1120, 0.3880, 0.0000], [0.0000, 0.0000, 0.0000], [0.5000, 0.5000, 0.0000]], "ef_ev_per_atom": 0.0570, "space_group": "P4/mbm"}

***

9.
{"formula": "Zr2ScBe", "functional": "PBE", "state": "relaxed", "lattice": [[3.1690, 0.0000, 0.0000], [0.0000, 3.1690, 0.0000], [0.0000, 0.0000, 7.8801]], "species": ["Sc", "Be", "Zr", "Zr"], "fractional_positions": [[0.5000, 0.5000, 0.7019], [0.0000, 0.0000, 0.4980], [0.0000, 0.0000, 0.0062], [0.5000, 0.5000, 0.2939]], "ef_ev_per_atom": -0.0111, "space_group": "P4mm"}

***

10.
{"formula": "ZrScBe", "functional": "PBE", "state": "relaxed", "lattice": [[-1.1816, -0.0316, 6.0133], [-2.7076, -2.5148, 4.8883], [2.1671, -1.8858, 1.2280]], "species": ["Sc", "Be", "Zr"], "fractional_positions": [[0.3527, 0.3527, 0.6473], [0.0015, 0.0015, 0.9985], [0.6459, 0.6459, 0.3541]], "e_above_lowest_polymorph_ev_per_atom": 0.0000, "ef_ev_per_atom": -0.0018, "space_group": "I4mm"}

***

11.
{"formula": "Zr3ScBe", "functional": "PBE", "state": "relaxed", "lattice": [[4.8246, 0.0000, 0.0000], [0.0000, 4.8246, 0.0000], [0.0000, 0.0000, 4.8246]], "species": ["Sc", "Be", "Zr", "Zr", "Zr"], "fractional_positions": [[0.5000, 0.5000, 0.5000], [0.0000, 0.0000, 0.0000], [0.0000, 0.5000, 0.0000], [0.0000, 0.0000, 0.5000], [0.5000, 0.0000, 0.0000]], "e_above_lowest_polymorph_ev_per_atom": 0.0000, "ef_ev_per_atom": 0.3051, "space_group": "Pm-3m"}

***

12.
{"formula": "ZrScBe", "functional": "PBE", "state": "relaxed", "lattice": [[4.4436, 0.0000, 0.0000], [-2.2218, 3.8482, 0.0000], [0.0000, 0.0000, 3.2842]], "species": ["Sc", "Be", "Zr"], "fractional_positions": [[0.6667, 0.3333, 0.2629], [0.0000, 0.0000, 0.0156], [0.3333, 0.6667, 0.7215]], "e_above_lowest_polymorph_ev_per_atom": 0.1984, "ef_ev_per_atom": 0.1966, "space_group": "P3m1"}

***

13.
{"formula": "Zr2ScBe", "functional": "PBE", "state": "relaxed", "lattice": [[4.0416, 0.0000, 0.0000], [0.0000, 4.0416, 0.0000], [2.0208, 2.0208, 10.1105]], "species": ["Sc", "Sc", "Be", "Be", "Zr", "Zr", "Zr", "Zr"], "fractional_positions": [[0.0000, 0.0000, 0.0000], [0.7500, 0.2500, 0.5000], [0.5000, 0.5000, 0.0000], [0.2500, 0.7500, 0.5000], [0.6100, 0.1250, 0.2500], [0.1400, 0.6250, 0.2500], [0.3750, 0.3900, 0.7500], [0.8750, 0.8600, 0.7500]], "ef_ev_per_atom": 0.4865, "space_group": "I-42d"}

***

14.
{"formula": "ZrScBe3", "functional": "PBE", "state": "relaxed", "lattice": [[-1.5875, -2.8573, 3.1591], [1.6981, -3.5164, -2.3271], [3.9064, 0.3675, 2.2953]], "species": ["Sc", "Be", "Be", "Be", "Zr"], "fractional_positions": [[0.5000, 0.5000, 0.5000], [0.0000, 0.5000, 0.0000], [0.0000, 0.0000, 0.5000], [0.5000, 0.0000, 0.0000], [0.0000, 0.0000, 0.0000]], "e_above_lowest_polymorph_ev_per_atom": 0.0066, "ef_ev_per_atom": 1.1913, "space_group": "Pm-3m"}

***

15.
{"formula": "ZrSc4Be", "functional": "PBE", "state": "relaxed", "lattice": [[-3.7852, -4.2798, 0.8035], [-3.2311, -0.1345, 4.7783], [-5.6628, 1.0598, -0.3159]], "species": ["Zr", "Sc", "Sc", "Sc", "Sc", "Be"], "fractional_positions": [[0.7500, 0.7500, 0.7500], [0.3753, 0.8741, 0.3753], [0.8741, 0.3753, 0.3753], [0.3753, 0.3753, 0.8741], [0.3753, 0.3753, 0.3753], [0.0000, 0.0000, 0.0000]], "ef_ev_per_atom": 0.5422, "space_group": "F-43m"}

***

16.
{"formula": "ZrScBe", "functional": "PBE", "state": "relaxed", "lattice": [[-1.3542, 0.2110, -4.1783], [-4.0785, -1.2604, -1.0557], [-2.9877, 2.9973, -1.1943]], "species": ["Sc", "Be", "Zr"], "fractional_positions": [[0.0000, 0.0000, 0.0000], [0.7500, 0.7500, 0.7500], [0.5000, 0.5000, 0.5000]], "e_above_lowest_polymorph_ev_per_atom": 0.2794, "ef_ev_per_atom": 0.2776, "space_group": "F-43m"}

***

17.
{"formula": "Zr2ScBe", "functional": "PBE", "state": "relaxed", "lattice": [[-0.9174, -2.8175, 1.6775], [3.1460, -2.4398, -2.3773], [6.6242, -1.4553, 1.1785]], "species": ["Sc", "Be", "Zr", "Zr"], "fractional_positions": [[0.0000, 0.0000, 0.5000], [0.5000, 0.5000, 0.5000], [0.0000, 0.0000, 0.0000], [0.5000, 0.5000, 0.0000]], "ef_ev_per_atom": 0.2122, "space_group": "P2/m"}

***

18.
{"formula": "BeSe", "functional": "PBE", "state": "relaxed", "lattice": [[8.8361, 0.0000, 0.0000], [-4.4181, 7.6523, 0.0000], [0.0000, 0.0000, 3.6984]], "species": ["Be", "Be", "Be", "Be", "Be", "Be", "Se", "Se", "Se", "Se", "Se", "Se"], "fractional_positions": [[0.6454, 0.0655, 0.2500], [0.5799, 0.6454, 0.7500], [0.9345, 0.5799, 0.2500], [0.3546, 0.9345, 0.7500], [0.4201, 0.3546, 0.2500], [0.0655, 0.4201, 0.7500], [0.9051, 0.3086, 0.2500], [0.5966, 0.9051, 0.7500], [0.6914, 0.5966, 0.2500], [0.0949, 0.6914, 0.7500], [0.4034, 0.0949, 0.2500], [0.3086, 0.4034, 0.7500]], "formation_energy_uncorrected_ev_per_atom": -0.70, "e_above_lowest_polymorph_ev_per_atom": 0.1095, "space_group": "P6_3/m"}

***

19.
{"formula": "BeSe2", "functional": "PBE", "state": "relaxed", "lattice": [[-9.1647, 0.4144, 6.0050], [-10.7649, 1.0683, 1.7892], [9.7003, -2.9905, -4.1456]], "species": ["Be", "Be", "Se", "Se", "Se", "Se"], "fractional_positions": [[0.0000, 0.0000, 0.0000], [0.7500, 0.2500, 0.5000], [0.5608, 0.5608, 0.0000], [0.1892, 0.6892, 0.5000], [0.4392, 0.4392, 0.0000], [0.3108, 0.8108, 0.5000]], "formation_energy_uncorrected_ev_per_atom": 0.29, "e_above_lowest_polymorph_ev_per_atom": 0.6618, "space_group": "I4_1/amd"}

***

20.
{"formula": "BeSe2", "functional": "PBE", "state": "relaxed", "lattice": [[-2.9266, -1.9575, -1.0168], [-1.6646, -0.8865, 6.4980], [-5.4456, 8.2794, -0.2654]], "species": ["Be", "Be", "Be", "Be", "Se", "Se", "Se", "Se", "Se", "Se", "Se", "Se"], "fractional_positions": [[0.2500, 0.6352, 0.4382], [0.7500, 0.8648, 0.9382], [0.2500, 0.1352, 0.0618], [0.7500, 0.3648, 0.5618], [0.2500, 0.0044, 0.8514], [0.7500, 0.4956, 0.3514], [0.2500, 0.5044, 0.6486], [0.7500, 0.9956, 0.1486], [0.2500, 0.9741, 0.4150], [0.7500, 0.5259, 0.9150], [0.2500, 0.4741, 0.0850], [0.7500, 0.0259, 0.5850]], "formation_energy_uncorrected_ev_per_atom": -0.37, "e_above_lowest_polymorph_ev_per_atom": 0.0000, "space_group": "Pnma"}